(P)
Hf5In3 after structural relaxation. Source: the Alexandria database, functional PBE-GGA.

Summary:
Space group = Cmmm, No. 65

Cell and atoms, written as CIF:
```
data_Hf5In3
_chemical_formula_sum 'Hf5 In3'
_cell_length_a 6.300
_cell_length_b 6.300
_cell_length_c 4.412
_cell_angle_alpha 90.00
_cell_angle_beta 90.00
_cell_angle_gamma 91.69
_space_group_name_H-M_alt 'P 1'
_space_group_IT_number 1
_space_group_name_Hall 'P 1'
loop_
_atom_site_label
_atom_site_type_symbol
_atom_site_fract_x
_atom_site_fract_y
_atom_site_fract_z
Hf1 Hf 0.000 0.000 0.000
Hf2 Hf 0.000 0.500 0.000
Hf3 Hf 0.236 0.764 0.500
Hf4 Hf 0.500 0.000 0.000
Hf5 Hf 0.764 0.236 0.500
In1 In 0.252 0.252 0.500
In2 In 0.500 0.500 0.000
In3 In 0.748 0.748 0.500
```

(Q)
Hf5In3 after structural relaxation. Source: the Alexandria database, functional PBE-GGA.

Summary:
Space group = P4/mmm, No. 123

Cell and atoms, written as CIF:
```
data_Hf5In3
_chemical_formula_sum 'Hf5 In3'
_cell_length_a 3.117
_cell_length_b 3.117
_cell_length_c 18.231
_cell_angle_alpha 90.00
_cell_angle_beta 90.00
_cell_angle_gamma 90.00
_space_group_name_H-M_alt 'P 1'
_space_group_IT_number 1
_space_group_name_Hall 'P 1'
loop_
_atom_site_label
_atom_site_type_symbol
_atom_site_fract_x
_atom_site_fract_y
_atom_site_fract_z
Hf1 Hf 0.000 0.000 0.000
Hf2 Hf 0.000 0.000 0.251
Hf3 Hf 0.000 0.000 0.749
Hf4 Hf 0.500 0.500 0.369
Hf5 Hf 0.500 0.500 0.631
In1 In 0.000 0.000 0.500
In2 In 0.500 0.500 0.122
In3 In 0.500 0.500 0.878
```

The winner here is (Q), beating the second structure by 36 meV per atom.

(P)
HfInIr3 after structural relaxation. Source: the Alexandria database, functional PBE-GGA.

Summary:
Space group = Pm-3m, No. 221

Cell and atoms, written as CIF:
```
data_HfInIr3
_chemical_formula_sum 'Hf1 In1 Ir3'
_cell_length_a 4.839
_cell_length_b 4.839
_cell_length_c 4.839
_cell_angle_alpha 90.00
_cell_angle_beta 90.00
_cell_angle_gamma 90.00
_space_group_name_H-M_alt 'P 1'
_space_group_IT_number 1
_space_group_name_Hall 'P 1'
loop_
_atom_site_label
_atom_site_type_symbol
_atom_site_fract_x
_atom_site_fract_y
_atom_site_fract_z
Hf1 Hf 0.000 0.000 0.000
In1 In 0.500 0.500 0.500
Ir1 Ir 0.000 0.000 0.500
Ir2 Ir 0.000 0.500 0.000
Ir3 Ir 0.500 0.000 0.000
```

(Q)
HfInIr3 after structural relaxation. Source: the Alexandria database, functional PBE-GGA.

Summary:
Space group = Pm-3m, No. 221

Cell and atoms, written as CIF:
```
data_HfInIr3
_chemical_formula_sum 'Hf1 In1 Ir3'
_cell_length_a 4.762
_cell_length_b 4.762
_cell_length_c 4.762
_cell_angle_alpha 90.00
_cell_angle_beta 90.00
_cell_angle_gamma 90.00
_space_group_name_H-M_alt 'P 1'
_space_group_IT_number 1
_space_group_name_Hall 'P 1'
loop_
_atom_site_label
_atom_site_type_symbol
_atom_site_fract_x
_atom_site_fract_y
_atom_site_fract_z
Hf1 Hf 0.000 0.000 0.000
In1 In 0.500 0.500 0.500
Ir1 Ir 0.000 0.500 0.500
Ir2 Ir 0.500 0.000 0.500
Ir3 Ir 0.500 0.500 0.000
```

The winner here is (P), beating the second structure by 202 meV per atom.

(P)
HfIn3Ir after structural relaxation. Source: the Alexandria database, functional PBE-GGA.

Summary:
Space group = Pm-3m, No. 221

Cell and atoms, written as CIF:
```
data_HfIn3Ir
_chemical_formula_sum 'Hf1 In3 Ir1'
_cell_length_a 5.413
_cell_length_b 5.413
_cell_length_c 5.413
_cell_angle_alpha 90.00
_cell_angle_beta 90.00
_cell_angle_gamma 90.00
_space_group_name_H-M_alt 'P 1'
_space_group_IT_number 1
_space_group_name_Hall 'P 1'
loop_
_atom_site_label
_atom_site_type_symbol
_atom_site_fract_x
_atom_site_fract_y
_atom_site_fract_z
Hf1 Hf 0.000 0.000 0.000
In1 In 0.000 0.000 0.500
In2 In 0.000 0.500 0.000
In3 In 0.500 0.000 0.000
Ir1 Ir 0.500 0.500 0.500
```

(Q)
HfIn3Ir after structural relaxation. Source: the Alexandria database, functional PBE-GGA.

Summary:
Space group = Pm-3m, No. 221

Cell and atoms, written as CIF:
```
data_HfIn3Ir
_chemical_formula_sum 'Hf1 In3 Ir1'
_cell_length_a 5.095
_cell_length_b 5.095
_cell_length_c 5.095
_cell_angle_alpha 90.00
_cell_angle_beta 90.00
_cell_angle_gamma 90.00
_space_group_name_H-M_alt 'P 1'
_space_group_IT_number 1
_space_group_name_Hall 'P 1'
loop_
_atom_site_label
_atom_site_type_symbol
_atom_site_fract_x
_atom_site_fract_y
_atom_site_fract_z
Hf1 Hf 0.000 0.000 0.000
In1 In 0.000 0.500 0.500
In2 In 0.500 0.000 0.500
In3 In 0.500 0.500 0.000
Ir1 Ir 0.500 0.500 0.500
```

The winner here is (Q), beating the second structure by 1043 meV per atom.